A plane-wave DFT calculation with PBE was carried out for crystalline Co5Se at its relaxed geometry.

```
Co5Se
1.0
4.4235 0.0000 0.0000
-2.2117 3.8309 0.0000
0.0000 0.0000 4.1012
Co Se
5 1
Direct
0.0000 0.6566 0.0000
0.3333 0.6667 0.5000
0.3434 0.3434 0.0000
0.6566 0.0000 0.0000
0.6667 0.3333 0.5000
0.0000 0.0000 0.5000
```

Its energy relative to the elements, uncorrected is 0.15 eV per atom. The density of states at the Fermi level is 7.36 states/eV per cell. Its calculated total energy is -38.10 eV/f.u. The symmetry is P-62m, No. 189. The energy above the most stable polymorph in this dataset is 0 meV/atom.

---

A plane-wave DFT calculation with PBE was carried out for crystalline CoSe at its relaxed geometry.

```
CoSe
1.0
8.8157 0.0000 0.0000
-4.4078 7.6346 0.0000
0.0000 0.0000 3.6869
Co Se
6 6
Direct
0.0386 0.4273 0.2500
0.3887 0.9614 0.2500
0.4273 0.3887 0.7500
0.5727 0.6113 0.2500
0.6113 0.0386 0.7500
0.9614 0.5727 0.7500
0.1188 0.7188 0.2500
0.2812 0.4000 0.2500
0.4000 0.1188 0.7500
0.6000 0.8812 0.2500
0.7188 0.6000 0.7500
0.8812 0.2812 0.7500
```

Its energy relative to the elements, uncorrected is -0.21 eV per atom. The density of states at the Fermi level is 10.49 states/eV per cell. Its calculated total energy is -11.01 eV/f.u. The symmetry is P6_3/m, No. 176.

---

A plane-wave DFT calculation with PBE was carried out for crystalline Co3Se at its relaxed geometry.

```
Co3Se
1.0
-1.8160 1.8160 3.6302
1.8160 -1.8160 3.6302
1.8160 1.8160 -3.6302
Co Se
3 1
Direct
0.0000 0.0000 0.0000
0.2500 0.7500 0.5000
0.7500 0.2500 0.5000
0.5000 0.5000 0.0000
```

Its energy relative to the elements, uncorrected is 0.24 eV per atom. The density of states at the Fermi level is 4.79 states/eV per cell. Its calculated total energy is -23.83 eV/f.u. The symmetry is I4/mmm, No. 139. The energy above the most stable polymorph in this dataset is 0 meV/atom.

---

A plane-wave DFT calculation with PBE was carried out for crystalline CoSe at its relaxed geometry.

```
CoSe
1.0
6.6452 0.0000 0.0000
0.0000 6.6452 0.0000
0.0000 0.0000 3.3579
Co Se
4 4
Direct
0.1350 0.1350 0.0000
0.3650 0.6350 0.5000
0.6350 0.3650 0.5000
0.8650 0.8650 0.0000
0.2024 0.7976 0.0000
0.2976 0.2976 0.5000
0.7024 0.7024 0.5000
0.7976 0.2024 0.0000
```

Its energy relative to the elements, uncorrected is -0.15 eV per atom. The density of states at the Fermi level is 6.90 states/eV per cell. Its calculated total energy is -10.89 eV/f.u. The symmetry is P4_2/mnm, No. 136.

---

A plane-wave DFT calculation with PBE was carried out for crystalline CoSe at its relaxed geometry.

```
CoSe
1.0
6.5046 0.0000 0.0000
0.0000 6.5046 0.0000
0.0000 0.0000 6.5046
Co Se
6 6
Direct
0.0000 0.2500 0.5000
0.0000 0.7500 0.5000
0.2500 0.5000 0.0000
0.5000 0.0000 0.2500
0.5000 0.0000 0.7500
0.7500 0.5000 0.0000
0.0000 0.5000 0.2500
0.0000 0.5000 0.7500
0.2500 0.0000 0.5000
0.5000 0.2500 0.0000
0.5000 0.7500 0.0000
0.7500 0.0000 0.5000
```

Its energy relative to the elements, uncorrected is 0.06 eV per atom. The density of states at the Fermi level is 13.88 states/eV per cell. Its calculated total energy is -10.47 eV/f.u. The symmetry is Pm-3n, No. 223.

---

A plane-wave DFT calculation with PBE was carried out for crystalline CoSe at its relaxed geometry.

```
CoSe
1.0
1.6767 -4.8194 0.0000
1.6767 4.8194 0.0000
0.0000 0.0000 3.5243
Co Se
2 2
Direct
0.0999 0.9001 0.7500
0.9001 0.0999 0.2500
0.3550 0.6450 0.7500
0.6450 0.3550 0.2500
```

Its energy relative to the elements, uncorrected is 0.07 eV per atom. The density of states at the Fermi level is 4.62 states/eV per cell. Its calculated total energy is -10.44 eV/f.u. The symmetry is Cmcm, No. 63.

---

A plane-wave DFT calculation with PBE was carried out for crystalline Co6Se7 at its relaxed geometry.

```
Co6Se7
1.0
2.9435 1.6995 8.1478
-2.9435 1.6995 8.1478
0.0000 -3.3989 8.1478
Co Se
6 7
Direct
0.0894 0.0894 0.0894
0.1797 0.1797 0.1797
0.3362 0.3362 0.3362
0.6638 0.6638 0.6638
0.8203 0.8203 0.8203
0.9106 0.9106 0.9106
0.0545 0.5734 0.5734
0.4266 0.4266 0.9455
0.4266 0.9455 0.4266
0.5000 0.5000 0.5000
0.5734 0.0545 0.5734
0.5734 0.5734 0.0545
0.9455 0.4266 0.4266
```

Its energy relative to the elements, uncorrected is 0.66 eV per atom. The density of states at the Fermi level is 17.75 states/eV per cell. Its calculated total energy is -58.42 eV/f.u. The symmetry is R-3m, No. 166.

---

A plane-wave DFT calculation with PBE was carried out for crystalline Co5Se at its relaxed geometry.

```
Co5Se
1.0
2.9865 0.0000 0.0000
0.0000 2.9865 0.0000
0.0000 0.0000 8.0721
Co Se
5 1
Direct
0.0000 0.0000 0.0000
0.0000 0.0000 0.3220
0.0000 0.0000 0.6780
0.5000 0.5000 0.1507
0.5000 0.5000 0.8493
0.5000 0.5000 0.5000
```

Its energy relative to the elements, uncorrected is 0.19 eV per atom. The density of states at the Fermi level is 6.89 states/eV per cell. Its calculated total energy is -37.85 eV/f.u. The symmetry is P4/mmm, No. 123. The energy above the most stable polymorph in this dataset is 41 meV/atom.

---

A plane-wave DFT calculation with PBE was carried out for crystalline CoSe4 at its relaxed geometry.

```
CoSe4
1.0
-2.9397 2.9397 2.9397
2.9397 -2.9397 2.9397
2.9397 2.9397 -2.9397
Co Se
1 4
Direct
0.0000 0.0000 0.0000
0.0000 0.0000 0.5000
0.0000 0.5000 0.0000
0.5000 0.0000 0.0000
0.5000 0.5000 0.5000
```

Its energy relative to the elements, uncorrected is 0.31 eV per atom. The density of states at the Fermi level is 4.15 states/eV per cell. Its calculated total energy is -19.49 eV/f.u. The symmetry is Im-3m, No. 229. The energy above the most stable polymorph in this dataset is 0 meV/atom.

---

A plane-wave DFT calculation with PBE was carried out for crystalline CoSe3 at its relaxed geometry.

```
CoSe3
1.0
1.6737 0.9663 7.8919
-1.6737 0.9663 7.8919
0.0000 -1.9326 7.8919
Co Se
1 3
Direct
0.0000 0.0000 0.0000
0.2761 0.2761 0.2761
0.5000 0.5000 0.5000
0.7239 0.7239 0.7239
```

Its energy relative to the elements, uncorrected is 0.05 eV per atom. The density of states at the Fermi level is 3.57 states/eV per cell. Its calculated total energy is -17.35 eV/f.u. The symmetry is R-3m, No. 166. The energy above the most stable polymorph in this dataset is 90 meV/atom.

---

A plane-wave DFT calculation with PBE was carried out for crystalline CoSe at its relaxed geometry.

```
CoSe
1.0
-1.7701 1.7701 4.6187
1.7701 -1.7701 4.6187
1.7701 1.7701 -4.6187
Co Se
2 2
Direct
0.3750 0.6250 0.7500
0.6250 0.3750 0.2500
0.1250 0.8750 0.2500
0.8750 0.1250 0.7500
```

Its energy relative to the elements, uncorrected is 0.41 eV per atom. The density of states at the Fermi level is 5.25 states/eV per cell. Its calculated total energy is -9.76 eV/f.u. The symmetry is I4_1/amd, No. 141.

---

A plane-wave DFT calculation with PBE was carried out for crystalline Co3Se at its relaxed geometry.

```
Co3Se
1.0
3.9585 2.2854 0.9343
-3.9585 2.2854 0.9343
0.0000 -4.5709 0.9343
Co Se
3 1
Direct
0.0000 0.5000 0.5000
0.5000 0.0000 0.5000
0.5000 0.5000 0.0000
0.0000 0.0000 0.0000
```

Its energy relative to the elements, uncorrected is 0.38 eV per atom. The density of states at the Fermi level is 6.01 states/eV per cell. Its calculated total energy is -23.27 eV/f.u. The symmetry is R-3m, No. 166. The energy above the most stable polymorph in this dataset is 140 meV/atom.

---

Copy entry 7 word for word.
A plane-wave DFT calculation with PBE was carried out for crystalline Co6Se7 at its relaxed geometry.

```
Co6Se7
1.0
2.9435 1.6995 8.1478
-2.9435 1.6995 8.1478
0.0000 -3.3989 8.1478
Co Se
6 7
Direct
0.0894 0.0894 0.0894
0.1797 0.1797 0.1797
0.3362 0.3362 0.3362
0.6638 0.6638 0.6638
0.8203 0.8203 0.8203
0.9106 0.9106 0.9106
0.0545 0.5734 0.5734
0.4266 0.4266 0.9455
0.4266 0.9455 0.4266
0.5000 0.5000 0.5000
0.5734 0.0545 0.5734
0.5734 0.5734 0.0545
0.9455 0.4266 0.4266
```

Its energy relative to the elements, uncorrected is 0.66 eV per atom. The density of states at the Fermi level is 17.75 states/eV per cell. Its calculated total energy is -58.42 eV/f.u. The symmetry is R-3m, No. 166.

---

Look up the calculated total energy of the eleventh one.
-9.76 eV/f.u.

---

Number 12 is which compound?
Co3Se

---

The lowest energy relative to the elements, uncorrected belongs to which entry?
number 2